! YHoErZr PBE relaxed; values from VASP
&SYSTEM
  ibrav = 0, nat = 8, ntyp = 4
/
ATOMIC_SPECIES
Y 88.91 Y.upf
Ho 164.93 Ho.upf
Er 167.26 Er.upf
Zr 91.22 Zr.upf
CELL_PARAMETERS angstrom
4.861 0.000 0.000
0.000 4.861 0.000
0.000 0.000 9.689
ATOMIC_POSITIONS crystal
Y 0.000 0.000 0.000
Y 0.500 0.500 0.500
Ho 0.000 0.500 0.750
Ho 0.500 0.000 0.250
Er 0.000 0.000 0.500
Er 0.500 0.500 0.000
Zr 0.000 0.500 0.250
Zr 0.500 0.000 0.750
! * total magnetization: 0.000 Bohr magnetons per cell
! * crystal system: tetragonal
! * final energy: -5.951 eV per atom
! * E_form: 88 meV per atom


! YHoErZr PBE relaxed; values from VASP
&SYSTEM
  ibrav = 0, nat = 16, ntyp = 4
/
ATOMIC_SPECIES
Y 88.91 Y.upf
Ho 164.93 Ho.upf
Er 167.26 Er.upf
Zr 91.22 Zr.upf
CELL_PARAMETERS angstrom
7.764 0.000 0.000
0.000 7.764 0.000
0.000 0.000 7.764
ATOMIC_POSITIONS crystal
Y 0.000 0.000 0.000
Y 0.000 0.500 0.500
Y 0.500 0.000 0.500
Y 0.500 0.500 0.000
Ho 0.250 0.250 0.750
Ho 0.250 0.750 0.250
Ho 0.750 0.250 0.250
Ho 0.750 0.750 0.750
Er 0.250 0.250 0.250
Er 0.250 0.750 0.750
Er 0.750 0.250 0.750
Er 0.750 0.750 0.250
Zr 0.000 0.000 0.500
Zr 0.000 0.500 0.000
Zr 0.500 0.000 0.000
Zr 0.500 0.500 0.500
! * total magnetization: 11.855 Bohr magnetons per cell
! * crystal system: cubic
! * final energy: -5.831 eV per atom
! * E_form: 208 meV per atom


! HoEr2Zn PBE relaxed; values from VASP
&SYSTEM
  ibrav = 0, nat = 4, ntyp = 3
/
ATOMIC_SPECIES
Ho 164.93 Ho.upf
Er 167.26 Er.upf
Zn 65.41 Zn.upf
CELL_PARAMETERS angstrom
4.707 0.000 0.000
0.000 4.707 0.000
0.000 0.000 4.706
ATOMIC_POSITIONS crystal
Ho 0.000 0.000 0.000
Er 0.000 0.500 0.500
Er 0.500 0.000 0.500
Zn 0.500 0.500 0.000
! * total magnetization: 0.003 Bohr magnetons per cell
! * crystal system: tetragonal
! * final energy: -3.772 eV per atom
! * E_form: -27 meV per atom


| no. | E above lowest polymorph (eV/f.u.) |
| --- | --- |
| 1 | 0.00 |
| 2 | 0.48 |
| 3 | 0.54 |